Entry 1:
RbCrCuO4: relaxed, PBE with a Hubbard U.

Properties
SG: No. 11

Cell: 4.963 6.022 7.950 Å, 90.00 104.99 90.00°
Fractional coordinates of all 14 atoms:
Rb1 0.201 0.250 0.127
Rb2 0.799 0.750 0.873
Cr1 0.359 0.250 0.702
Cr2 0.641 0.750 0.298
Cu1 0.192 0.750 0.567
Cu2 0.808 0.250 0.433
O1 0.155 0.020 0.693
O2 0.155 0.480 0.693
O3 0.389 0.750 0.114
O4 0.494 0.250 0.530
O5 0.506 0.750 0.470
O6 0.611 0.250 0.886
O7 0.845 0.520 0.307
O8 0.845 0.980 0.307

Entry 2:
CrCuRhO4: relaxed, PBE with a Hubbard U.

Properties
SG: No. 74

Cell: 5.998 5.998 5.998 Å, 119.75 118.11 91.87°
Fractional coordinates of all 14 atoms:
Cr1 0.500 0.000 0.000
Cr2 0.500 0.500 0.500
Cu1 0.116 0.366 0.750
Cu2 0.884 0.634 0.250
Rh1 0.000 0.000 0.000
Rh2 0.500 0.000 0.500
O1 0.256 0.232 0.476
O2 0.256 0.781 0.024
O3 0.277 0.246 0.031
O4 0.285 0.754 0.531
O5 0.715 0.246 0.469
O6 0.723 0.754 0.969
O7 0.744 0.219 0.976
O8 0.744 0.768 0.524

Entry 3:
CrCuRuO6: relaxed, PBE with a Hubbard U.

Properties
SG: No. 163

Cell: 5.003 5.003 8.677 Å, 90.00 90.00 120.00°
Fractional coordinates of all 18 atoms:
Cr1 0.333 0.667 0.250
Cr2 0.667 0.333 0.750
Cu1 0.000 0.000 0.000
Cu2 0.000 0.000 0.500
Ru1 0.333 0.667 0.750
Ru2 0.667 0.333 0.250
O1 0.006 0.355 0.627
O2 0.006 0.651 0.873
O3 0.349 0.355 0.873
O4 0.349 0.994 0.627
O5 0.355 0.006 0.127
O6 0.355 0.349 0.373
O7 0.645 0.651 0.627
O8 0.645 0.994 0.873
O9 0.651 0.006 0.373
O10 0.651 0.645 0.127
O11 0.994 0.349 0.127
O12 0.994 0.645 0.373

Entry 4:
CrCuSO: relaxed, PBE with a Hubbard U.

Properties
SG: No. 129

Cell: 3.939 3.939 7.609 Å, 90.00 90.00 90.00°
Fractional coordinates of all 8 atoms:
Cr1 0.250 0.250 0.049
Cr2 0.750 0.750 0.951
Cu1 0.250 0.750 0.500
Cu2 0.750 0.250 0.500
S1 0.250 0.250 0.663
S2 0.750 0.750 0.337
O1 0.250 0.750 0.000
O2 0.750 0.250 0.000

Entry 5:
CrCuS2O: relaxed, PBE with a Hubbard U.

Properties
SG: No. 123

Cell: 4.551 4.551 3.645 Å, 90.00 90.00 90.00°
Fractional coordinates of all 5 atoms:
Cr1 0.000 0.000 0.000
Cu1 0.500 0.500 0.000
S1 0.000 0.500 0.500
S2 0.500 0.000 0.500
O1 0.500 0.500 0.500

Entry 6:
Sr2CrCuSO3: relaxed, PBE with a Hubbard U.

Properties
SG: No. 129

Cell: 3.952 3.952 15.505 Å, 90.00 90.00 90.00°
Fractional coordinates of all 16 atoms:
Sr1 0.250 0.250 0.088
Sr2 0.250 0.250 0.316
Sr3 0.750 0.750 0.684
Sr4 0.750 0.750 0.912
Cr1 0.250 0.250 0.806
Cr2 0.750 0.750 0.194
Cu1 0.250 0.750 0.500
Cu2 0.750 0.250 0.500
S1 0.250 0.250 0.590
S2 0.750 0.750 0.410
O1 0.250 0.250 0.930
O2 0.250 0.750 0.213
O3 0.250 0.750 0.787
O4 0.750 0.250 0.213
O5 0.750 0.250 0.787
O6 0.750 0.750 0.070

Entry 7:
Sr3Cr2Cu2S2O5: relaxed, PBE with a Hubbard U.

Properties
SG: No. 139

Cell: 13.330 13.330 13.330 Å, 162.86 162.86 24.33°
Fractional coordinates of all 14 atoms:
Sr1 0.000 0.000 0.000
Sr2 0.142 0.142 0.000
Sr3 0.858 0.858 0.000
Cr1 0.426 0.426 0.000
Cr2 0.574 0.574 0.000
Cu1 0.250 0.750 0.500
Cu2 0.750 0.250 0.500
S1 0.303 0.303 0.000
S2 0.697 0.697 0.000
O1 0.083 0.583 0.500
O2 0.417 0.917 0.500
O3 0.500 0.500 0.000
O4 0.583 0.083 0.500
O5 0.917 0.417 0.500

Entry 8:
CrCuSbO5: relaxed, PBE with a Hubbard U.

Properties
SG: No. 15

Cell: 5.569 5.569 7.638 Å, 108.82 108.82 95.58°
Fractional coordinates of all 16 atoms:
Cr1 0.052 0.948 0.750
Cr2 0.948 0.052 0.250
Cu1 0.414 0.586 0.750
Cu2 0.586 0.414 0.250
Sb1 0.000 0.500 0.000
Sb2 0.500 0.000 0.500
O1 0.133 0.673 0.848
O2 0.190 0.810 0.250
O3 0.263 0.277 0.006
O4 0.277 0.263 0.506
O5 0.327 0.867 0.652
O6 0.673 0.133 0.348
O7 0.723 0.737 0.494
O8 0.737 0.723 0.994
O9 0.810 0.190 0.750
O10 0.867 0.327 0.152

Entry 9:
CrCuSbO2: relaxed, PBE with a Hubbard U.

Properties
SG: No. 123

Cell: 3.940 3.940 6.115 Å, 90.00 90.00 90.00°
Fractional coordinates of all 5 atoms:
Cr1 0.000 0.000 0.000
Cu1 0.500 0.500 0.000
Sb1 0.000 0.000 0.500
O1 0.000 0.500 0.500
O2 0.500 0.000 0.500

Entry 10:
CrCuSeO5: relaxed, PBE with a Hubbard U.

Properties
SG: No. 15

Cell: 5.492 5.492 7.515 Å, 109.97 109.97 93.63°
Fractional coordinates of all 16 atoms:
Cr1 0.000 0.500 0.000
Cr2 0.500 0.000 0.500
Cu1 0.033 0.967 0.750
Cu2 0.967 0.033 0.250
Se1 0.408 0.592 0.750
Se2 0.592 0.408 0.250
O1 0.162 0.657 0.845
O2 0.200 0.800 0.250
O3 0.252 0.261 0.510
O4 0.261 0.252 0.010
O5 0.343 0.838 0.655
O6 0.657 0.162 0.345
O7 0.739 0.748 0.990
O8 0.748 0.739 0.490
O9 0.800 0.200 0.750
O10 0.838 0.343 0.155

Entry 11:
CrCuSe2O8: relaxed, PBE with a Hubbard U.

Properties
SG: No. 164

Cell: 5.540 5.540 5.820 Å, 90.00 90.00 120.00°
Fractional coordinates of all 12 atoms:
Cr1 0.000 0.000 0.000
Cu1 0.000 0.000 0.500
Se1 0.333 0.667 0.850
Se2 0.667 0.333 0.150
O1 0.161 0.321 0.755
O2 0.161 0.839 0.755
O3 0.321 0.161 0.245
O4 0.333 0.667 0.129
O5 0.667 0.333 0.871
O6 0.679 0.839 0.755
O7 0.839 0.161 0.245
O8 0.839 0.679 0.245

Entry 12:
CrCu2SiO: relaxed, PBE with a Hubbard U.

Properties
SG: No. 123

Cell: 4.630 4.630 4.683 Å, 90.00 90.00 90.00°
Fractional coordinates of all 5 atoms:
Cr1 0.000 0.000 0.000
Cu1 0.000 0.500 0.000
Cu2 0.500 0.000 0.000
Si1 0.000 0.000 0.500
O1 0.500 0.500 0.500

Number 1: uncorrected energy -5.8571 eV/atom. Number 2: uncorrected energy -6.6605 eV/atom. Number 3: uncorrected energy -6.5349 eV/atom. Number 4: uncorrected energy -5.9444 eV/atom. Number 5: uncorrected energy -4.2098 eV/atom. Number 6: uncorrected energy -6.2296 eV/atom. Number 7: uncorrected energy -6.2129 eV/atom. Number 8: uncorrected energy -6.2257 eV/atom. Number 9: uncorrected energy -5.0084 eV/atom. Number 10: uncorrected energy -5.9130 eV/atom. Number 11: uncorrected energy -5.5358 eV/atom. Number 12: uncorrected energy -3.7268 eV/atom.